[1]
A relaxed structure of MnAlBO4, computed with PBE with a Hubbard U.

- total magnetic moment (μB/f.u.) = 5.00
- final energy (eV per atom) = -7.70

The structure in CIF format:
```
data_MnAlBO4
_cell_length_a 5.722
_cell_length_b 8.424
_cell_length_c 5.651
_cell_angle_alpha 90.00
_cell_angle_beta 90.00
_cell_angle_gamma 90.00
_space_group_name_H-M_alt 'C m c m'
_space_group_IT_number 63
_space_group_name_Hall '-C 2c 2'
loop_
_atom_site_label
_atom_site_type_symbol
_atom_site_fract_x
_atom_site_fract_y
_atom_site_fract_z
Mn1 Mn 0.000 0.000 0.000
Al1 Al 0.000 0.360 0.250
B1 B 0.000 0.356 0.750
O1 O 0.000 0.261 0.532
O2 O 0.206 0.477 0.750
```

[2]
A relaxed structure of MnAl2BO, computed with PBE with a Hubbard U.

- total magnetic moment (μB/f.u.) = 3.71
- final energy (eV per atom) = -5.04

The structure in CIF format:
```
data_MnAl2BO
_cell_length_a 3.781
_cell_length_b 3.781
_cell_length_c 4.754
_cell_angle_alpha 90.00
_cell_angle_beta 90.00
_cell_angle_gamma 90.00
_space_group_name_H-M_alt 'P 4/m m m'
_space_group_IT_number 123
_space_group_name_Hall '-P 4 2'
loop_
_atom_site_label
_atom_site_type_symbol
_atom_site_fract_x
_atom_site_fract_y
_atom_site_fract_z
Mn1 Mn 0.000 0.000 0.000
Al1 Al 0.000 0.500 0.500
B1 B 0.500 0.500 0.000
O1 O 0.500 0.500 0.500
```

[3]
A relaxed structure of MnAlB2Pb2O8, computed with PBE with a Hubbard U.

- total magnetic moment (μB/f.u.) = 4.00
- final energy (eV per atom) = -7.19

The structure in CIF format:
```
data_MnAlB2Pb2O8
_cell_length_a 6.013
_cell_length_b 7.123
_cell_length_c 10.019
_cell_angle_alpha 90.00
_cell_angle_beta 124.41
_cell_angle_gamma 90.00
_space_group_name_H-M_alt 'P 1 21/c 1'
_space_group_IT_number 14
loop_
_space_group_symop_operation_xyz
'x,y,z'
'-x,-y,-z'
'-x,y+1/2,-z+1/2'
'x,-y+1/2,z+1/2'
loop_
_atom_site_label
_atom_site_type_symbol
_atom_site_fract_x
_atom_site_fract_y
_atom_site_fract_z
Mn1 Mn 0.000 0.000 0.000
Al1 Al 0.500 0.000 0.000
B1 B 0.498 0.219 0.263
Pb1 Pb 0.092 0.071 0.359
O1 O 0.150 0.096 0.889
O2 O 0.226 0.169 0.188
O3 O 0.371 0.664 0.309
O4 O 0.375 0.683 0.594
```